The following is a PBEsol calculation of an optimized crystal structure of CuReRu2, from the Alexandria database.

```
CuReRu2
1.0
2.8245 0.0000 0.0000
0.0000 4.3185 0.0000
0.0000 0.0000 8.6484
Cu Re Ru
2 2 4
direct
0.0000 0.0000 0.0000 Cu
0.5000 0.5000 0.5000 Cu
0.0000 0.0000 0.5000 Re
0.5000 0.5000 0.0000 Re
0.0000 0.5000 0.2635 Ru
0.0000 0.5000 0.7365 Ru
0.5000 0.0000 0.2365 Ru
0.5000 0.0000 0.7635 Ru
```

## Properties
As for the symmetry: Immm, No. 71. The calculated total energy is -73.1 eV/cell. Its calculated formation energy is 359 meV per atom. For the spin magnetization, the calculation gives 0.00 μB/f.u.

The following is a PBEsol calculation of an optimized crystal structure of CaGe2I, from the Alexandria database.

```
CaGe2I
1.0
7.3809 0.0000 0.0000
0.0000 7.3809 0.0000
0.0000 0.0000 7.3809
Ca Ge I
4 8 4
direct
0.0000 0.0000 0.0000 Ca
0.0000 0.5000 0.5000 Ca
0.5000 0.0000 0.5000 Ca
0.5000 0.5000 0.0000 Ca
0.2500 0.2500 0.2500 Ge
0.2500 0.2500 0.7500 Ge
0.2500 0.7500 0.2500 Ge
0.2500 0.7500 0.7500 Ge
0.7500 0.2500 0.2500 Ge
0.7500 0.2500 0.7500 Ge
0.7500 0.7500 0.2500 Ge
0.7500 0.7500 0.7500 Ge
0.0000 0.0000 0.5000 I
0.0000 0.5000 0.0000 I
0.5000 0.0000 0.0000 I
0.5000 0.5000 0.5000 I
```

## Properties
As for the symmetry: Fm-3m, No. 225. The calculated total energy is -52.4 eV/cell. For the spin magnetization, the calculation gives 0.00 μB/f.u.

The following is a PBEsol calculation of an optimized crystal structure of Fe3CuC, from the Alexandria database.

```
Fe3CuC
1.0
3.7061 0.0000 0.0000
0.0000 3.7061 0.0000
0.0000 0.0000 3.7061
Fe Cu C
3 1 1
direct
0.0000 0.0000 0.5000 Fe
0.0000 0.5000 0.0000 Fe
0.5000 0.0000 0.0000 Fe
0.5000 0.5000 0.5000 Cu
0.0000 0.0000 0.0000 C
```

## Properties
As for the symmetry: Pm-3m, No. 221. The calculated total energy is -40.3 eV/cell. Its calculated formation energy is 112 meV per atom. For the spin magnetization, the calculation gives 5.06 μB/f.u.

The following is a PBEsol calculation of an optimized crystal structure of Cs2AlS, from the Alexandria database.

```
Cs2AlS
1.0
8.2527 0.0000 0.0000
0.0000 8.2527 0.0000
0.0000 0.0000 8.2527
Cs Al S
8 4 4
direct
0.2500 0.2500 0.2500 Cs
0.2500 0.2500 0.7500 Cs
0.2500 0.7500 0.2500 Cs
0.2500 0.7500 0.7500 Cs
0.7500 0.2500 0.2500 Cs
0.7500 0.2500 0.7500 Cs
0.7500 0.7500 0.2500 Cs
0.7500 0.7500 0.7500 Cs
0.0000 0.0000 0.0000 Al
0.0000 0.5000 0.5000 Al
0.5000 0.0000 0.5000 Al
0.5000 0.5000 0.0000 Al
0.0000 0.0000 0.5000 S
0.0000 0.5000 0.0000 S
0.5000 0.0000 0.0000 S
0.5000 0.5000 0.5000 S
```

## Properties
As for the symmetry: Fm-3m, No. 225. The calculated total energy is -41.6 eV/cell. For the spin magnetization, the calculation gives 0.60 μB/f.u.

The following is a PBEsol calculation of an optimized crystal structure of MgTi2Ir2, from the Alexandria database.

```
MgTi2Ir2
1.0
7.4240 0.0000 0.0000
0.0000 7.4240 0.0000
0.0000 0.0000 2.9196
Mg Ti Ir
2 4 4
direct
0.0000 0.0000 0.0000 Mg
0.5000 0.5000 0.0000 Mg
0.1539 0.3461 0.5000 Ti
0.3461 0.8461 0.5000 Ti
0.6539 0.1539 0.5000 Ti
0.8461 0.6539 0.5000 Ti
0.1411 0.6411 0.0000 Ir
0.3589 0.1411 0.0000 Ir
0.6411 0.8589 0.0000 Ir
0.8589 0.3589 0.0000 Ir
```

## Properties
As for the symmetry: P4/mbm, No. 127. The calculated total energy is -82.5 eV/cell. Its calculated formation energy is -644 meV per atom. For the spin magnetization, the calculation gives 0.00 μB/f.u.

The following is a PBEsol calculation of an optimized crystal structure of CoSnOs2S, from the Alexandria database.

```
CoSnOs2S
1.0
4.8467 0.0000 0.0000
0.0000 4.8467 0.0000
0.0000 0.0000 4.5318
Co Sn Os S
1 1 2 1
direct
0.0000 0.0000 0.0000 Co
0.0000 0.0000 0.5000 Sn
0.0000 0.5000 0.5000 Os
0.5000 0.0000 0.5000 Os
0.5000 0.5000 0.0000 S
```

## Properties
As for the symmetry: P4/mmm, No. 123. The calculated total energy is -27.7 eV/cell. For the spin magnetization, the calculation gives 4.34 μB/f.u.

The following is a PBEsol calculation of an optimized crystal structure of KSc2Se, from the Alexandria database.

```
KSc2Se
1.0
4.3983 0.0000 0.0000
0.0000 4.3983 0.0000
0.0000 0.0000 4.9878
K Sc Se
1 2 1
direct
0.0000 0.0000 0.0000 K
0.0000 0.5000 0.5000 Sc
0.5000 0.0000 0.5000 Sc
0.5000 0.5000 0.0000 Se
```

## Properties
As for the symmetry: P4/mmm, No. 123. The calculated total energy is -18.2 eV/cell. For the spin magnetization, the calculation gives 0.01 μB/f.u.

The following is a PBEsol calculation of an optimized crystal structure of ZnNiAu2, from the Alexandria database.

```
ZnNiAu2
1.0
9.4829 0.0000 0.0000
0.0000 2.8172 0.0000
-1.4729 0.0000 4.2947
Zn Ni Au
2 2 4
direct
0.0000 0.0000 0.0000 Zn
0.5000 0.5000 0.0000 Zn
0.2135 0.5000 0.2967 Ni
0.7135 0.0000 0.2967 Ni
0.2436 0.0000 0.8119 Au
0.4631 0.0000 0.4720 Au
0.7436 0.5000 0.8119 Au
0.9631 0.5000 0.4720 Au
```

## Properties
As for the symmetry: Cm, No. 8. The calculated total energy is -32.0 eV/cell. Its calculated formation energy is -104 meV per atom. For the spin magnetization, the calculation gives 0.00 μB/f.u.

The following is a PBEsol calculation of an optimized crystal structure of BeSb2Rh, from the Alexandria database.

```
BeSb2Rh
1.0
4.4379 0.0000 0.0000
0.0000 4.4379 0.0000
0.0000 0.0000 3.5997
Be Sb Rh
1 2 1
direct
0.0000 0.0000 0.0000 Be
0.0000 0.5000 0.5000 Sb
0.5000 0.0000 0.5000 Sb
0.5000 0.5000 0.0000 Rh
```

## Properties
As for the symmetry: P4/mmm, No. 123. The calculated total energy is -20.2 eV/cell. For the spin magnetization, the calculation gives 0.00 μB/f.u.

The following is a PBEsol calculation of an optimized crystal structure of YSiO2F, from the Alexandria database.

```
YSiO2F
1.0
3.6811 0.0000 0.0000
0.0000 3.6811 0.0000
0.0000 0.0000 4.2937
Y Si O F
1 1 2 1
direct
0.0000 0.0000 0.0000 Y
0.5000 0.5000 0.5000 Si
0.0000 0.5000 0.5000 O
0.5000 0.0000 0.5000 O
0.5000 0.5000 0.0000 F
```

## Properties
As for the symmetry: P4/mmm, No. 123. The calculated total energy is -34.9 eV/cell. For the spin magnetization, the calculation gives 0.00 μB/f.u.

The following is a PBEsol calculation of an optimized crystal structure of Mg2Tl2N, from the Alexandria database.

```
Mg2Tl2N
1.0
3.9059 0.0000 0.0000
0.0000 3.9059 0.0000
0.0000 0.0000 15.5492
Mg Tl N
4 4 2
direct
0.0000 0.0000 0.0853 Mg
0.0000 0.0000 0.9147 Mg
0.5000 0.5000 0.4147 Mg
0.5000 0.5000 0.5853 Mg
0.0000 0.5000 0.2500 Tl
0.0000 0.5000 0.7500 Tl
0.5000 0.0000 0.2500 Tl
0.5000 0.0000 0.7500 Tl
0.0000 0.0000 0.5000 N
0.5000 0.5000 0.0000 N
```

## Properties
As for the symmetry: I4/mmm, No. 139. The calculated total energy is -24.4 eV/cell. For the spin magnetization, the calculation gives 0.48 μB/f.u.

The following is a PBEsol calculation of an optimized crystal structure of Li2AgAu, from the Alexandria database.

```
Li2AgAu
1.0
4.2285 0.0000 0.0000
0.0000 4.2285 0.0000
0.0000 0.0000 6.5452
Li Ag Au
4 2 2
direct
0.0000 0.5000 0.2500 Li
0.0000 0.5000 0.7500 Li
0.5000 0.0000 0.2500 Li
0.5000 0.0000 0.7500 Li
0.0000 0.0000 0.0000 Ag
0.5000 0.5000 0.5000 Ag
0.0000 0.0000 0.5000 Au
0.5000 0.5000 0.0000 Au
```

## Properties
As for the symmetry: I4/mmm, No. 139. The calculated total energy is -25.2 eV/cell. Its calculated formation energy is -363 meV per atom. The distance to the lowest polymorph of the same formula comes out at 0.00 eV/f.u. For the spin magnetization, the calculation gives 0.00 μB/f.u.

The following is a PBEsol calculation of an optimized crystal structure of Si2MoO6, from the Alexandria database.

```
Si2MoO6
1.0
5.1011 0.0000 0.0000
0.0000 18.6725 0.0000
0.0000 0.0000 8.5137
Si Mo O
16 8 48
direct
0.0615 0.2207 0.1517 Si
0.0615 0.2793 0.6517 Si
0.2448 0.0305 0.3467 Si
0.2448 0.4695 0.8467 Si
0.2552 0.5305 0.3467 Si
0.2552 0.9695 0.8467 Si
0.4385 0.7207 0.1517 Si
0.4385 0.7793 0.6517 Si
0.5615 0.2207 0.3483 Si
0.5615 0.2793 0.8483 Si
0.7448 0.0305 0.1533 Si
0.7448 0.4695 0.6533 Si
0.7552 0.5305 0.1533 Si
0.7552 0.9695 0.6533 Si
0.9385 0.7207 0.3483 Si
0.9385 0.7793 0.8483 Si
0.0767 0.6250 0.6796 Mo
0.0767 0.8750 0.1796 Mo
0.4233 0.1250 0.6796 Mo
0.4233 0.3750 0.1796 Mo
0.5767 0.6250 0.8204 Mo
0.5767 0.8750 0.3204 Mo
0.9233 0.1250 0.8204 Mo
0.9233 0.3750 0.3204 Mo
0.0297 0.5562 0.2267 O
0.0297 0.9438 0.7267 O
0.0773 0.1873 0.9777 O
0.0773 0.3127 0.4777 O
0.0849 0.1900 0.6562 O
0.0849 0.3100 0.1562 O
0.2071 0.6947 0.2673 O
0.2071 0.8053 0.7673 O
0.2182 0.5628 0.5201 O
0.2182 0.9372 0.0201 O
0.2457 0.5590 0.8413 O
0.2457 0.9410 0.3413 O
0.2543 0.0590 0.8413 O
0.2543 0.4410 0.3413 O
0.2818 0.0628 0.5201 O
0.2818 0.4372 0.0201 O
0.2929 0.1947 0.2673 O
0.2929 0.3053 0.7673 O
0.4151 0.6900 0.6562 O
0.4151 0.8100 0.1562 O
0.4227 0.6873 0.9777 O
0.4227 0.8127 0.4777 O
0.4703 0.0562 0.2267 O
0.4703 0.4438 0.7267 O
0.5297 0.5562 0.2733 O
0.5297 0.9438 0.7733 O
0.5773 0.1873 0.5223 O
0.5773 0.3127 0.0223 O
0.5849 0.1900 0.8438 O
0.5849 0.3100 0.3438 O
0.7071 0.6947 0.2327 O
0.7071 0.8053 0.7327 O
0.7182 0.5628 0.9799 O
0.7182 0.9372 0.4799 O
0.7457 0.5590 0.6587 O
0.7457 0.9410 0.1587 O
0.7543 0.0590 0.6587 O
0.7543 0.4410 0.1587 O
0.7818 0.0628 0.9799 O
0.7818 0.4372 0.4799 O
0.7929 0.1947 0.2327 O
0.7929 0.3053 0.7327 O
0.9151 0.6900 0.8438 O
0.9151 0.8100 0.3438 O
0.9227 0.6873 0.5223 O
0.9227 0.8127 0.0223 O
0.9703 0.0562 0.2733 O
0.9703 0.4438 0.7733 O
```

## Properties
As for the symmetry: Pbca, No. 61. The calculated total energy is -610.7 eV/cell. The distance to the lowest polymorph of the same formula comes out at 0.00 eV/f.u. For the spin magnetization, the calculation gives 0.00 μB/f.u.